# 1
# GGA-PBE P2PdSe, optimized geometry
# Space-group type = I-42d (122)
# Energy relative to the elements, uncorrected = 135 meV/atom
# Spin magnetization = 0.0 μB per formula unit
data_P2PdSe
_chemical_formula_sum 'P4 Pd2 Se2'
_space_group_name_H-M_alt 'P 1'
_space_group_IT_number 1
_space_group_name_Hall 'P 1'
_cell_length_a 6.872
_cell_length_b 6.872
_cell_length_c 6.872
_cell_angle_alpha 132.32
_cell_angle_beta 132.32
_cell_angle_gamma 69.73
loop_
_atom_site_label
_atom_site_fract_x
_atom_site_fract_y
_atom_site_fract_z
_atom_site_occupancy
P1 0.091 0.625 0.966 1
P2 0.375 0.341 0.466 1
P3 0.659 0.125 0.034 1
P4 0.875 0.909 0.534 1
Pd1 0.000 0.000 0.000 1
Pd2 0.750 0.250 0.500 1
Se1 0.250 0.750 0.500 1
Se2 0.500 0.500 0.000 1

=====

# 2
# GGA-PBE PPdSe2, optimized geometry
# Space-group type = R-3m (166)
# Energy relative to the elements, uncorrected = 181 meV/atom
# Spin magnetization = 0.0 μB per formula unit
data_PPdSe2
_chemical_formula_sum 'P1 Pd1 Se2'
_space_group_name_H-M_alt 'P 1'
_space_group_IT_number 1
_space_group_name_Hall 'P 1'
_cell_length_a 8.038
_cell_length_b 8.038
_cell_length_c 8.038
_cell_angle_alpha 25.61
_cell_angle_beta 25.61
_cell_angle_gamma 25.61
loop_
_atom_site_label
_atom_site_fract_x
_atom_site_fract_y
_atom_site_fract_z
_atom_site_occupancy
P1 0.000 0.000 0.000 1
Pd1 0.500 0.500 0.500 1
Se1 0.397 0.397 0.397 1
Se2 0.603 0.603 0.603 1

=====

# 3
# GGA-PBE P2Pd8Se, optimized geometry
# Space-group type = C2/m (12)
# Energy relative to the elements, uncorrected = -354 meV/atom
# Spin magnetization = 0.0 μB per formula unit
data_P2Pd8Se
_chemical_formula_sum 'P2 Pd8 Se1'
_space_group_name_H-M_alt 'P 1'
_space_group_IT_number 1
_space_group_name_Hall 'P 1'
_cell_length_a 7.675
_cell_length_b 7.675
_cell_length_c 6.154
_cell_angle_alpha 110.48
_cell_angle_beta 110.48
_cell_angle_gamma 29.98
loop_
_atom_site_label
_atom_site_fract_x
_atom_site_fract_y
_atom_site_fract_z
_atom_site_occupancy
P1 0.182 0.182 0.184 1
P2 0.818 0.818 0.816 1
Pd1 0.040 0.040 0.267 1
Pd2 0.199 0.199 0.824 1
Pd3 0.320 0.320 0.524 1
Pd4 0.407 0.407 0.025 1
Pd5 0.593 0.593 0.975 1
Pd6 0.680 0.680 0.476 1
Pd7 0.801 0.801 0.176 1
Pd8 0.960 0.960 0.733 1
Se1 0.500 0.500 0.500 1

=====

# 4
# GGA-PBE P3PdSe, optimized geometry
# Space-group type = Pm-3m (221)
# Energy relative to the elements, uncorrected = 905 meV/atom
# Spin magnetization = 1.1 μB per formula unit
# Excess energy over the best structure of this formula in the dataset = 0.0 meV per atom
data_P3PdSe
_chemical_formula_sum 'P3 Pd1 Se1'
_space_group_name_H-M_alt 'P 1'
_space_group_IT_number 1
_space_group_name_Hall 'P 1'
_cell_length_a 4.682
_cell_length_b 4.682
_cell_length_c 4.682
_cell_angle_alpha 90.00
_cell_angle_beta 90.00
_cell_angle_gamma 90.00
loop_
_atom_site_label
_atom_site_fract_x
_atom_site_fract_y
_atom_site_fract_z
_atom_site_occupancy
P1 0.000 0.000 0.500 1
P2 0.000 0.500 0.000 1
P3 0.500 0.000 0.000 1
Pd1 0.000 0.000 0.000 1
Se1 0.500 0.500 0.500 1

=====

# 5
# GGA-PBE PPdSe4, optimized geometry
# Space-group type = P222 (16)
# Energy relative to the elements, uncorrected = 22 meV/atom
# Spin magnetization = 0.0 μB per formula unit
data_PPdSe4
_chemical_formula_sum 'P2 Pd2 Se8'
_space_group_name_H-M_alt 'P 1'
_space_group_IT_number 1
_space_group_name_Hall 'P 1'
_cell_length_a 6.689
_cell_length_b 6.702
_cell_length_c 8.617
_cell_angle_alpha 90.00
_cell_angle_beta 90.00
_cell_angle_gamma 90.00
loop_
_atom_site_label
_atom_site_fract_x
_atom_site_fract_y
_atom_site_fract_z
_atom_site_occupancy
P1 0.000 0.000 0.000 1
P2 0.500 0.000 0.500 1
Pd1 0.000 0.000 0.500 1
Pd2 0.000 0.500 0.000 1
Se1 0.191 0.226 0.882 1
Se2 0.191 0.774 0.118 1
Se3 0.276 0.200 0.389 1
Se4 0.276 0.800 0.611 1
Se5 0.724 0.200 0.611 1
Se6 0.724 0.800 0.389 1
Se7 0.809 0.226 0.118 1
Se8 0.809 0.774 0.882 1

=====

# 6
# GGA-PBE Sm8P3PdSe4, optimized geometry
# Space-group type = R-3m (166)
# Energy relative to the elements, uncorrected = -1634 meV/atom
# Spin magnetization = 0.0 μB per formula unit
data_Sm8P3PdSe4
_chemical_formula_sum 'Sm8 P3 Pd1 Se4'
_space_group_name_H-M_alt 'P 1'
_space_group_IT_number 1
_space_group_name_Hall 'P 1'
_cell_length_a 8.334
_cell_length_b 8.334
_cell_length_c 8.334
_cell_angle_alpha 59.65
_cell_angle_beta 59.65
_cell_angle_gamma 59.65
loop_
_atom_site_label
_atom_site_fract_x
_atom_site_fract_y
_atom_site_fract_z
_atom_site_occupancy
Sm1 0.239 0.749 0.749 1
Sm2 0.243 0.243 0.243 1
Sm3 0.251 0.251 0.761 1
Sm4 0.251 0.761 0.251 1
Sm5 0.749 0.239 0.749 1
Sm6 0.749 0.749 0.239 1
Sm7 0.757 0.757 0.757 1
Sm8 0.761 0.251 0.251 1
P1 0.000 0.000 0.500 1
P2 0.000 0.500 0.000 1
P3 0.500 0.000 0.000 1
Pd1 0.500 0.500 0.500 1
Se1 0.000 0.000 0.000 1
Se2 0.000 0.500 0.500 1
Se3 0.500 0.000 0.500 1
Se4 0.500 0.500 0.000 1

=====

# 7
# GGA-PBE Sm6P2PdSe3, optimized geometry
# Space-group type = C2/m (12)
# Energy relative to the elements, uncorrected = -1596 meV/atom
# Spin magnetization = 0.0 μB per formula unit
data_Sm6P2PdSe3
_chemical_formula_sum 'Sm6 P2 Pd1 Se3'
_space_group_name_H-M_alt 'P 1'
_space_group_IT_number 1
_space_group_name_Hall 'P 1'
_cell_length_a 9.320
_cell_length_b 9.320
_cell_length_c 8.383
_cell_angle_alpha 103.28
_cell_angle_beta 103.28
_cell_angle_gamma 25.53
loop_
_atom_site_label
_atom_site_fract_x
_atom_site_fract_y
_atom_site_fract_z
_atom_site_occupancy
Sm1 0.005 0.005 0.248 1
Sm2 0.329 0.329 0.427 1
Sm3 0.332 0.332 0.902 1
Sm4 0.668 0.668 0.098 1
Sm5 0.671 0.671 0.573 1
Sm6 0.995 0.995 0.752 1
P1 0.167 0.167 0.334 1
P2 0.833 0.833 0.666 1
Pd1 0.500 0.500 0.000 1
Se1 0.166 0.166 0.833 1
Se2 0.500 0.500 0.500 1
Se3 0.834 0.834 0.167 1

=====

# 8
# GGA-PBE SnP2PdSe, optimized geometry
# Space-group type = P4/mmm (123)
# Energy relative to the elements, uncorrected = 664 meV/atom
# Spin magnetization = 0.0 μB per formula unit
data_SnP2PdSe
_chemical_formula_sum 'Sn1 P2 Pd1 Se1'
_space_group_name_H-M_alt 'P 1'
_space_group_IT_number 1
_space_group_name_Hall 'P 1'
_cell_length_a 4.912
_cell_length_b 4.912
_cell_length_c 4.666
_cell_angle_alpha 90.00
_cell_angle_beta 90.00
_cell_angle_gamma 90.00
loop_
_atom_site_label
_atom_site_fract_x
_atom_site_fract_y
_atom_site_fract_z
_atom_site_occupancy
Sn1 0.000 0.000 0.000 1
P1 0.000 0.500 0.500 1
P2 0.500 0.000 0.500 1
Pd1 0.500 0.500 0.000 1
Se1 0.500 0.500 0.500 1

=====

# 9
# GGA-PBE TaPPd2Se, optimized geometry
# Space-group type = P4/mmm (123)
# Energy relative to the elements, uncorrected = 694 meV/atom
# Spin magnetization = 0.0 μB per formula unit
data_TaPPd2Se
_chemical_formula_sum 'Ta1 P1 Pd2 Se1'
_space_group_name_H-M_alt 'P 1'
_space_group_IT_number 1
_space_group_name_Hall 'P 1'
_cell_length_a 4.592
_cell_length_b 4.592
_cell_length_c 4.867
_cell_angle_alpha 90.00
_cell_angle_beta 90.00
_cell_angle_gamma 90.00
loop_
_atom_site_label
_atom_site_fract_x
_atom_site_fract_y
_atom_site_fract_z
_atom_site_occupancy
Ta1 0.000 0.000 0.000 1
P1 0.500 0.500 0.000 1
Pd1 0.000 0.500 0.500 1
Pd2 0.500 0.000 0.500 1
Se1 0.000 0.000 0.500 1

=====

# 10
# GGA-PBE Tb6P2PdSe3, optimized geometry
# Space-group type = C2/m (12)
# Energy relative to the elements, uncorrected = -1599 meV/atom
# Spin magnetization = 0.0 μB per formula unit
data_Tb6P2PdSe3
_chemical_formula_sum 'Tb6 P2 Pd1 Se3'
_space_group_name_H-M_alt 'P 1'
_space_group_IT_number 1
_space_group_name_Hall 'P 1'
_cell_length_a 9.154
_cell_length_b 9.154
_cell_length_c 8.236
_cell_angle_alpha 103.32
_cell_angle_beta 103.32
_cell_angle_gamma 25.50
loop_
_atom_site_label
_atom_site_fract_x
_atom_site_fract_y
_atom_site_fract_z
_atom_site_occupancy
Tb1 0.005 0.005 0.246 1
Tb2 0.328 0.328 0.427 1
Tb3 0.333 0.333 0.902 1
Tb4 0.667 0.667 0.098 1
Tb5 0.672 0.672 0.573 1
Tb6 0.995 0.995 0.754 1
P1 0.167 0.167 0.335 1
P2 0.833 0.833 0.665 1
Pd1 0.500 0.500 0.000 1
Se1 0.167 0.167 0.832 1
Se2 0.500 0.500 0.500 1
Se3 0.833 0.833 0.168 1

=====

# 11
# GGA-PBE TeP2PdSe, optimized geometry
# Space-group type = P4/mmm (123)
# Energy relative to the elements, uncorrected = 1326 meV/atom
# Spin magnetization = 1.0 μB per formula unit
data_TeP2PdSe
_chemical_formula_sum 'Te1 P2 Pd1 Se1'
_space_group_name_H-M_alt 'P 1'
_space_group_IT_number 1
_space_group_name_Hall 'P 1'
_cell_length_a 5.026
_cell_length_b 5.026
_cell_length_c 5.294
_cell_angle_alpha 90.00
_cell_angle_beta 90.00
_cell_angle_gamma 90.00
loop_
_atom_site_label
_atom_site_fract_x
_atom_site_fract_y
_atom_site_fract_z
_atom_site_occupancy
Te1 0.000 0.000 0.000 1
P1 0.000 0.500 0.000 1
P2 0.500 0.000 0.000 1
Pd1 0.500 0.500 0.500 1
Se1 0.000 0.000 0.500 1

=====

# 12
# GGA-PBE Th4PPdSe2, optimized geometry
# Space-group type = P2/m (10)
# Energy relative to the elements, uncorrected = -1331 meV/atom
# Spin magnetization = 0.0 μB per formula unit
data_Th4PPdSe2
_chemical_formula_sum 'Th4 P1 Pd1 Se2'
_space_group_name_H-M_alt 'P 1'
_space_group_IT_number 1
_space_group_name_Hall 'P 1'
_cell_length_a 7.338
_cell_length_b 4.127
_cell_length_c 7.362
_cell_angle_alpha 90.00
_cell_angle_beta 108.86
_cell_angle_gamma 90.00
loop_
_atom_site_label
_atom_site_fract_x
_atom_site_fract_y
_atom_site_fract_z
_atom_site_occupancy
Th1 0.235 0.000 0.237 1
Th2 0.235 0.500 0.746 1
Th3 0.765 0.000 0.763 1
Th4 0.765 0.500 0.254 1
P1 0.000 0.500 0.000 1
Pd1 0.000 0.000 0.500 1
Se1 0.500 0.000 0.000 1
Se2 0.500 0.500 0.500 1